*a*
Here is Sm2InGa2 after structural relaxation from Alexandria. Energies are from GGA-PBE.

## Properties
DOS(E_F) = 2.48 states/eV/f.u.

a = 4.269 Å, b = 4.118 Å, c = 7.316 Å
α = 106.35°, β = 90.00°, γ = 90.00°
Sites, in units of the cell vectors:
Ga (0.000, 0.200, 0.401)
Ga (0.000, 0.800, 0.599)
In (0.000, 0.000, 0.000)
Sm (0.500, 0.367, 0.735)
Sm (0.500, 0.633, 0.265)

---

*b*
Here is Sm2InGa2 after structural relaxation from Alexandria. Energies are from GGA-PBE.

## Properties
DOS(E_F) = 2.89 states/eV/f.u.

a = 4.521 Å, b = 7.345 Å, c = 7.345 Å
α = 90.00°, β = 90.00°, γ = 90.00°
Sites, in units of the cell vectors:
Ga (0.000, 0.376, 0.876)
Ga (0.000, 0.624, 0.124)
Ga (0.000, 0.876, 0.624)
Ga (0.000, 0.124, 0.376)
Sm (0.500, 0.827, 0.327)
Sm (0.500, 0.173, 0.673)
Sm (0.500, 0.327, 0.173)
Sm (0.500, 0.673, 0.827)
In (0.000, 0.000, 0.000)
In (0.000, 0.500, 0.500)

---

Energetically preferred structure: *b* | next structure: +0.022 eV/atom

---

*a*
Here is Sm4InGa3 after structural relaxation from Alexandria. Energies are from GGA-PBE.

## Properties
DOS(E_F) = 8.34 states/eV/f.u.

a = 4.507 Å, b = 4.209 Å, c = 11.298 Å
α = 90.00°, β = 90.00°, γ = 90.00°
Sites, in units of the cell vectors:
Ga (0.500, 0.000, 0.914)
Ga (0.000, 0.000, 0.429)
Ga (0.000, 0.500, 0.574)
Sm (0.500, 0.000, 0.638)
Sm (0.500, 0.500, 0.369)
Sm (0.000, 0.500, 0.855)
Sm (0.000, 0.000, 0.147)
In (0.500, 0.500, 0.075)

---

*b*
Here is Sm4InGa3 after structural relaxation from Alexandria. Energies are from GGA-PBE.

## Properties
DOS(E_F) = 3.22 states/eV/f.u.

a = 5.218 Å, b = 7.433 Å, c = 10.436 Å
α = 90.00°, β = 90.00°, γ = 90.00°
Sites, in units of the cell vectors:
Sm (0.500, 0.243, 0.000)
Sm (0.500, 0.243, 0.500)
Sm (0.001, 0.243, 0.250)
Sm (0.999, 0.243, 0.750)
Sm (0.001, 0.757, 0.250)
Sm (0.999, 0.757, 0.750)
Sm (0.500, 0.757, 0.000)
Sm (0.500, 0.757, 0.500)
Ga (0.499, 0.000, 0.750)
Ga (0.501, 0.500, 0.250)
Ga (0.000, 0.000, 0.000)
Ga (0.499, 0.500, 0.750)
Ga (0.000, 0.000, 0.500)
Ga (0.501, 0.000, 0.250)
In (0.000, 0.500, 0.500)
In (0.000, 0.500, 0.000)

---

Energetically preferred structure: *a* | next structure: +0.012 eV/atom

---

*a*
Here is SmYInGa after structural relaxation from Alexandria. Energies are from GGA-PBE.

## Properties
DOS(E_F) = 1.44 states/eV/f.u.

a = 5.253 Å, b = 5.253 Å, c = 5.253 Å
α = 60.00°, β = 60.00°, γ = 60.00°
Sites, in units of the cell vectors:
Ga (0.000, 0.000, 0.000)
Sm (0.250, 0.250, 0.250)
Y (0.750, 0.750, 0.750)
In (0.500, 0.500, 0.500)

---

*b*
Here is SmYInGa after structural relaxation from Alexandria. Energies are from GGA-PBE.

## Properties
DOS(E_F) = 2.04 states/eV/f.u.

a = 3.665 Å, b = 3.665 Å, c = 7.600 Å
α = 90.00°, β = 90.00°, γ = 90.00°
Sites, in units of the cell vectors:
In (0.000, 0.000, 0.850)
Ga (0.000, 0.000, 0.364)
Y (0.500, 0.500, 0.593)
Sm (0.500, 0.500, 0.121)

---

Energetically preferred structure: *b* | next structure: +0.020 eV/atom

---

*a*
Here is In3Ga4Sn2 after structural relaxation from Alexandria. Energies are from GGA-PBE.

## Properties
DOS(E_F) = 3.32 states/eV/f.u.

a = 4.214 Å, b = 6.354 Å, c = 9.623 Å
α = 112.00°, β = 90.00°, γ = 109.36°
Sites, in units of the cell vectors:
Sn (0.678, 0.356, 0.314)
Sn (0.322, 0.644, 0.686)
Ga (0.304, 0.608, 0.969)
Ga (0.081, 0.162, 0.436)
Ga (0.696, 0.392, 0.031)
Ga (0.919, 0.838, 0.564)
In (0.616, 0.232, 0.704)
In (0.384, 0.768, 0.296)
In (0.000, 0.000, 0.000)

---

*b*
Here is In3Ga4Sn2 after structural relaxation from Alexandria. Energies are from GGA-PBE.

## Properties
DOS(E_F) = 2.29 states/eV/f.u.

a = 5.117 Å, b = 5.861 Å, c = 9.056 Å
α = 61.49°, β = 73.37°, γ = 64.46°
Sites, in units of the cell vectors:
Ga (0.939, 0.559, 0.648)
Ga (0.061, 0.441, 0.352)
Ga (0.295, 0.379, 0.029)
Ga (0.705, 0.621, 0.971)
In (0.000, 0.000, 0.000)
In (0.426, 0.782, 0.293)
In (0.574, 0.218, 0.707)
Sn (0.274, 0.871, 0.661)
Sn (0.726, 0.129, 0.339)

---

Energetically preferred structure: *b* | next structure: +0.019 eV/atom

---

*a*
Here is In2GaSn after structural relaxation from Alexandria. Energies are from GGA-PBE.

## Properties
DOS(E_F) = 2.12 states/eV/f.u.

a = 6.740 Å, b = 6.740 Å, c = 6.740 Å
α = 55.69°, β = 152.67°, γ = 132.47°
Sites, in units of the cell vectors:
Sn (0.000, 0.500, 0.500)
In (0.000, 0.241, 0.241)
In (0.000, 0.759, 0.759)
Ga (0.000, 0.000, 0.000)

---

*b*
Here is In2GaSn after structural relaxation from Alexandria. Energies are from GGA-PBE.

## Properties
DOS(E_F) = 1.50 states/eV/f.u.

a = 6.448 Å, b = 4.395 Å, c = 8.193 Å
α = 90.02°, β = 90.00°, γ = 90.00°
Sites, in units of the cell vectors:
Sn (0.750, 0.998, 0.151)
Sn (0.250, 0.002, 0.849)
In (0.994, 0.502, 0.677)
In (0.506, 0.502, 0.677)
In (0.006, 0.498, 0.323)
In (0.494, 0.498, 0.323)
Ga (0.750, 0.002, 0.816)
Ga (0.250, 0.998, 0.184)

---

Energetically preferred structure: *a* | next structure: +0.023 eV/atom

---

*a*
Here is In2GaSn after structural relaxation from Alexandria. Energies are from GGA-PBE.

## Properties
DOS(E_F) = 1.70 states/eV/f.u.

a = 4.538 Å, b = 4.538 Å, c = 6.666 Å
α = 70.10°, β = 70.10°, γ = 60.00°
Sites, in units of the cell vectors:
Ga (0.666, 0.666, 0.003)
Sn (0.502, 0.502, 0.493)
In (0.073, 0.073, 0.781)
In (0.259, 0.259, 0.223)

---

*b*
Here is In2GaSn after structural relaxation from Alexandria. Energies are from GGA-PBE.

## Properties
DOS(E_F) = 2.58 states/eV/f.u.

a = 5.247 Å, b = 5.247 Å, c = 5.247 Å
α = 60.00°, β = 60.00°, γ = 60.00°
Sites, in units of the cell vectors:
In (0.250, 0.250, 0.250)
In (0.750, 0.750, 0.750)
Ga (0.000, 0.000, 0.000)
Sn (0.500, 0.500, 0.500)

---

*c*
Here is In2GaSn after structural relaxation from Alexandria. Energies are from GGA-PBE.

## Properties
DOS(E_F) = 1.49 states/eV/f.u.

a = 4.173 Å, b = 4.952 Å, c = 4.952 Å
α = 90.00°, β = 90.00°, γ = 90.00°
Sites, in units of the cell vectors:
Sn (0.500, 0.000, 0.000)
Ga (0.500, 0.500, 0.500)
In (0.000, 0.500, 0.000)
In (0.000, 0.000, 0.500)

---

Energetically preferred structure: *c* | next structure: +0.005 eV/atom

---

*a*
Here is In2GaSn after structural relaxation from Alexandria. Energies are from GGA-PBE.

## Properties
DOS(E_F) = 1.98 states/eV/f.u.

a = 4.359 Å, b = 4.359 Å, c = 11.394 Å
α = 78.97°, β = 78.97°, γ = 90.00°
Sites, in units of the cell vectors:
Sn (0.750, 0.250, 0.500)
Sn (0.000, 0.000, 0.000)
Ga (0.500, 0.500, 0.000)
Ga (0.250, 0.750, 0.500)
In (0.375, 0.383, 0.750)
In (0.875, 0.867, 0.750)
In (0.133, 0.625, 0.250)
In (0.617, 0.125, 0.250)

---

*b*
Here is In2GaSn after structural relaxation from Alexandria. Energies are from GGA-PBE.

## Properties
DOS(E_F) = 2.62 states/eV/f.u.

a = 3.647 Å, b = 3.647 Å, c = 7.651 Å
α = 90.00°, β = 90.00°, γ = 90.00°
Sites, in units of the cell vectors:
Ga (0.500, 0.500, 0.000)
Sn (0.500, 0.500, 0.500)
In (0.000, 0.000, 0.773)
In (0.000, 0.000, 0.227)

---

Energetically preferred structure: *b* | next structure: +0.013 eV/atom

---

*a*
Here is In4GaSn after structural relaxation from Alexandria. Energies are from GGA-PBE.

## Properties
DOS(E_F) = 4.11 states/eV/f.u.

a = 6.175 Å, b = 6.175 Å, c = 6.175 Å
α = 60.00°, β = 60.00°, γ = 60.00°
Sites, in units of the cell vectors:
In (0.125, 0.625, 0.625)
In (0.625, 0.125, 0.625)
In (0.625, 0.625, 0.125)
In (0.625, 0.625, 0.625)
Sn (0.250, 0.250, 0.250)
Ga (0.000, 0.000, 0.000)

---

*b*
Here is In4GaSn after structural relaxation from Alexandria. Energies are from GGA-PBE.

## Properties
DOS(E_F) = 2.11 states/eV/f.u.

a = 4.061 Å, b = 4.061 Å, c = 9.531 Å
α = 90.00°, β = 89.99°, γ = 90.00°
Sites, in units of the cell vectors:
In (0.500, 0.500, 0.828)
In (0.500, 0.500, 0.172)
In (0.000, 0.000, 0.662)
In (0.000, 0.000, 0.338)
Ga (0.500, 0.500, 0.500)
Sn (0.000, 0.000, 0.000)

---

Energetically preferred structure: *b* | next structure: +0.123 eV/atom

---

*a*
Here is In2GaSn2 after structural relaxation from Alexandria. Energies are from GGA-PBE.

## Properties
DOS(E_F) = 2.29 states/eV/f.u.

a = 4.280 Å, b = 4.280 Å, c = 8.470 Å
α = 75.36°, β = 75.36°, γ = 90.00°
Sites, in units of the cell vectors:
Sn (0.250, 0.750, 0.500)
Sn (0.750, 0.250, 0.500)
Ga (0.000, 0.000, 0.000)
In (0.595, 0.595, 0.810)
In (0.405, 0.405, 0.190)

---

*b*
Here is In2GaSn2 after structural relaxation from Alexandria. Energies are from GGA-PBE.

## Properties
DOS(E_F) = 2.62 states/eV/f.u.

a = 8.900 Å, b = 8.900 Å, c = 3.498 Å
α = 90.00°, β = 90.00°, γ = 90.00°
Sites, in units of the cell vectors:
Sn (0.653, 0.847, 0.500)
Sn (0.347, 0.153, 0.500)
Sn (0.847, 0.347, 0.500)
Sn (0.153, 0.653, 0.500)
In (0.146, 0.354, 0.000)
In (0.354, 0.854, 0.000)
In (0.646, 0.146, 0.000)
In (0.854, 0.646, 0.000)
Ga (0.000, 0.000, 0.000)
Ga (0.500, 0.500, 0.000)

---

*c*
Here is In2GaSn2 after structural relaxation from Alexandria. Energies are from GGA-PBE.

## Properties
DOS(E_F) = 2.73 states/eV/f.u.

a = 7.767 Å, b = 7.767 Å, c = 4.585 Å
α = 90.00°, β = 90.00°, γ = 90.00°
Sites, in units of the cell vectors:
Sn (0.359, 0.859, 0.000)
Sn (0.859, 0.641, 0.000)
Sn (0.141, 0.359, 0.000)
Sn (0.641, 0.141, 0.000)
In (0.667, 0.833, 0.500)
In (0.333, 0.167, 0.500)
In (0.833, 0.333, 0.500)
In (0.167, 0.667, 0.500)
Ga (0.000, 0.000, 0.000)
Ga (0.500, 0.500, 0.000)

---

Energetically preferred structure: *c* | next structure: +0.026 eV/atom

---

*a*
Here is In2GaSn2 after structural relaxation from Alexandria. Energies are from GGA-PBE.

## Properties
DOS(E_F) = 2.62 states/eV/f.u.

a = 4.285 Å, b = 4.285 Å, c = 8.297 Å
α = 75.04°, β = 75.04°, γ = 90.00°
Sites, in units of the cell vectors:
In (0.250, 0.750, 0.500)
In (0.750, 0.250, 0.500)
Sn (0.598, 0.598, 0.804)
Sn (0.402, 0.402, 0.196)
Ga (0.000, 0.000, 0.000)

---

*b*
Here is In2GaSn2 after structural relaxation from Alexandria. Energies are from GGA-PBE.

## Properties
DOS(E_F) = 2.16 states/eV/f.u.

a = 3.598 Å, b = 7.888 Å, c = 6.728 Å
α = 133.22°, β = 105.04°, γ = 90.55°
Sites, in units of the cell vectors:
Sn (0.222, 0.632, 0.439)
Sn (0.778, 0.368, 0.561)
In (0.587, 0.789, 0.169)
In (0.413, 0.211, 0.831)
Ga (0.000, 0.000, 0.000)

---

Energetically preferred structure: *b* | next structure: +0.128 eV/atom

---

*a*
Here is In3Ga2Sn after structural relaxation from Alexandria. Energies are from GGA-PBE.

## Properties
DOS(E_F) = 2.52 states/eV/f.u.

a = 11.270 Å, b = 6.710 Å, c = 8.341 Å
α = 90.00°, β = 110.52°, γ = 90.00°
Sites, in units of the cell vectors:
Ga (0.254, 0.879, 0.252)
Ga (0.246, 0.379, 0.248)
Ga (0.754, 0.621, 0.752)
Ga (0.746, 0.120, 0.249)
Ga (0.746, 0.121, 0.748)
Ga (0.754, 0.620, 0.251)
Ga (0.246, 0.380, 0.749)
Ga (0.254, 0.880, 0.751)
In (0.907, 0.875, 0.079)
In (0.407, 0.625, 0.078)
In (0.911, 0.372, 0.581)
In (0.089, 0.628, 0.419)
In (0.907, 0.875, 0.578)
In (0.411, 0.128, 0.081)
In (0.093, 0.125, 0.422)
In (0.407, 0.625, 0.579)
In (0.589, 0.872, 0.919)
In (0.593, 0.375, 0.421)
In (0.093, 0.125, 0.921)
In (0.593, 0.375, 0.922)
Sn (0.411, 0.133, 0.580)
Sn (0.911, 0.367, 0.080)
Sn (0.089, 0.633, 0.920)
Sn (0.589, 0.867, 0.420)

---

*b*
Here is In3Ga2Sn after structural relaxation from Alexandria. Energies are from GGA-PBE.

## Properties
DOS(E_F) = 2.65 states/eV/f.u.

a = 4.160 Å, b = 8.449 Å, c = 9.764 Å
α = 70.88°, β = 77.70°, γ = 75.75°
Sites, in units of the cell vectors:
In (0.046, 0.122, 0.786)
In (0.389, 0.186, 0.036)
In (0.766, 0.831, 0.638)
In (0.954, 0.878, 0.214)
In (0.611, 0.814, 0.964)
In (0.234, 0.169, 0.362)
Sn (0.583, 0.520, 0.314)
Sn (0.417, 0.480, 0.686)
Ga (0.187, 0.534, 0.092)
Ga (0.618, 0.208, 0.557)
Ga (0.382, 0.792, 0.443)
Ga (0.813, 0.466, 0.908)

---

Energetically preferred structure: *a* | next structure: +0.025 eV/atom